First-principles (GGA-PBEsol) data for an optimized crystal structure of ScBr5, as listed in the Alexandria database.

Structure (CIF):
```
data_ScBr5
_chemical_formula_sum 'Sc1 Br5'
_cell_length_a 5.431
_cell_length_b 5.431
_cell_length_c 7.156
_cell_angle_alpha 90.00
_cell_angle_beta 90.00
_cell_angle_gamma 120.00
_symmetry_space_group_name_H-M 'P 1'
_symmetry_Int_Tables_number 1
loop_
_symmetry_equiv_pos_as_xyz
'x,y,z'
loop_
_atom_site_label
_atom_site_type_symbol
_atom_site_fract_x
_atom_site_fract_y
_atom_site_fract_z
_atom_site_occupancy
Sc1 Sc 0.000 0.000 0.000 1
Br1 Br 0.000 0.500 0.500 1
Br2 Br 0.333 0.667 0.000 1
Br3 Br 0.500 0.000 0.500 1
Br4 Br 0.500 0.500 0.500 1
Br5 Br 0.667 0.333 0.000 1
```

Calculated values
- energy relative to the elements, uncorrected (meV per atom) = -227
- total magnetization (μB/cell) = 0.61

First-principles (GGA-PBEsol) data for an optimized crystal structure of Sc3Br, as listed in the Alexandria database.

Structure (CIF):
```
data_Sc3Br
_chemical_formula_sum 'Sc3 Br1'
_cell_length_a 3.276
_cell_length_b 3.276
_cell_length_c 9.132
_cell_angle_alpha 90.00
_cell_angle_beta 90.00
_cell_angle_gamma 112.34
_symmetry_space_group_name_H-M 'P 1'
_symmetry_Int_Tables_number 1
loop_
_symmetry_equiv_pos_as_xyz
'x,y,z'
loop_
_atom_site_label
_atom_site_type_symbol
_atom_site_fract_x
_atom_site_fract_y
_atom_site_fract_z
_atom_site_occupancy
Sc1 Sc 0.000 0.000 0.000 1
Sc2 Sc 0.500 0.500 0.264 1
Sc3 Sc 0.500 0.500 0.736 1
Br1 Br 0.000 0.000 0.500 1
```

Calculated values
- energy relative to the elements, uncorrected (meV per atom) = -375
- total magnetization (μB/cell) = 0.01

First-principles (GGA-PBEsol) data for an optimized crystal structure of ScBr, as listed in the Alexandria database.

Structure (CIF):
```
data_ScBr
_chemical_formula_sum 'Sc2 Br2'
_cell_length_a 6.774
_cell_length_b 6.774
_cell_length_c 6.774
_cell_angle_alpha 147.53
_cell_angle_beta 147.53
_cell_angle_gamma 46.58
_symmetry_space_group_name_H-M 'P 1'
_symmetry_Int_Tables_number 1
loop_
_symmetry_equiv_pos_as_xyz
'x,y,z'
loop_
_atom_site_label
_atom_site_type_symbol
_atom_site_fract_x
_atom_site_fract_y
_atom_site_fract_z
_atom_site_occupancy
Sc1 Sc 0.375 0.625 0.750 1
Sc2 Sc 0.625 0.375 0.250 1
Br1 Br 0.125 0.875 0.250 1
Br2 Br 0.875 0.125 0.750 1
```

Calculated values
- energy relative to the elements, uncorrected (meV per atom) = -630
- total magnetization (μB/cell) = 0.00

First-principles (GGA-PBEsol) data for an optimized crystal structure of ScBr, as listed in the Alexandria database.

Structure (CIF):
```
data_ScBr
_chemical_formula_sum 'Sc2 Br2'
_cell_length_a 3.449
_cell_length_b 3.449
_cell_length_c 9.103
_cell_angle_alpha 90.00
_cell_angle_beta 90.00
_cell_angle_gamma 120.00
_symmetry_space_group_name_H-M 'P 1'
_symmetry_Int_Tables_number 1
loop_
_symmetry_equiv_pos_as_xyz
'x,y,z'
loop_
_atom_site_label
_atom_site_type_symbol
_atom_site_fract_x
_atom_site_fract_y
_atom_site_fract_z
_atom_site_occupancy
Sc1 Sc 0.333 0.667 0.000 1
Sc2 Sc 0.667 0.333 0.500 1
Br1 Br 0.333 0.667 0.294 1
Br2 Br 0.667 0.333 0.794 1
```

Calculated values
- energy relative to the elements, uncorrected (meV per atom) = -902
- total magnetization (μB/cell) = 0.00

First-principles (GGA-PBEsol) data for an optimized crystal structure of ScSeBr2, as listed in the Alexandria database.

Structure (CIF):
```
data_ScSeBr2
_chemical_formula_sum 'Sc1 Se1 Br2'
_cell_length_a 5.291
_cell_length_b 5.291
_cell_length_c 5.291
_cell_angle_alpha 129.45
_cell_angle_beta 129.45
_cell_angle_gamma 74.29
_symmetry_space_group_name_H-M 'P 1'
_symmetry_Int_Tables_number 1
loop_
_symmetry_equiv_pos_as_xyz
'x,y,z'
loop_
_atom_site_label
_atom_site_type_symbol
_atom_site_fract_x
_atom_site_fract_y
_atom_site_fract_z
_atom_site_occupancy
Sc1 Sc 0.000 0.000 0.000 1
Se1 Se 0.500 0.500 0.000 1
Br1 Br 0.250 0.750 0.500 1
Br2 Br 0.750 0.250 0.500 1
```

Calculated values
- energy relative to the elements, uncorrected (meV per atom) = -582
- total magnetization (μB/cell) = 0.59

First-principles (GGA-PBEsol) data for an optimized crystal structure of ScSeBr4, as listed in the Alexandria database.

Structure (CIF):
```
data_ScSeBr4
_chemical_formula_sum 'Sc1 Se1 Br4'
_cell_length_a 5.897
_cell_length_b 5.897
_cell_length_c 5.897
_cell_angle_alpha 60.00
_cell_angle_beta 60.00
_cell_angle_gamma 60.00
_symmetry_space_group_name_H-M 'P 1'
_symmetry_Int_Tables_number 1
loop_
_symmetry_equiv_pos_as_xyz
'x,y,z'
loop_
_atom_site_label
_atom_site_type_symbol
_atom_site_fract_x
_atom_site_fract_y
_atom_site_fract_z
_atom_site_occupancy
Sc1 Sc 0.000 0.000 0.000 1
Se1 Se 0.250 0.250 0.250 1
Br1 Br 0.124 0.625 0.625 1
Br2 Br 0.625 0.124 0.625 1
Br3 Br 0.625 0.625 0.124 1
Br4 Br 0.625 0.625 0.625 1
```

Calculated values
- energy relative to the elements, uncorrected (meV per atom) = 266
- total magnetization (μB/cell) = 0.00

First-principles (GGA-PBEsol) data for an optimized crystal structure of Sc4SeBr, as listed in the Alexandria database.

Structure (CIF):
```
data_Sc4SeBr
_chemical_formula_sum 'Sc4 Se1 Br1'
_cell_length_a 5.826
_cell_length_b 5.826
_cell_length_c 5.826
_cell_angle_alpha 60.00
_cell_angle_beta 60.00
_cell_angle_gamma 60.00
_symmetry_space_group_name_H-M 'P 1'
_symmetry_Int_Tables_number 1
loop_
_symmetry_equiv_pos_as_xyz
'x,y,z'
loop_
_atom_site_label
_atom_site_type_symbol
_atom_site_fract_x
_atom_site_fract_y
_atom_site_fract_z
_atom_site_occupancy
Sc1 Sc 0.376 0.376 0.376 1
Sc2 Sc 0.376 0.376 0.873 1
Sc3 Sc 0.376 0.873 0.376 1
Sc4 Sc 0.873 0.376 0.376 1
Se1 Se 0.750 0.750 0.750 1
Br1 Br 0.000 0.000 0.000 1
```

Calculated values
- energy relative to the elements, uncorrected (meV per atom) = 37
- total magnetization (μB/cell) = 0.00

First-principles (GGA-PBEsol) data for an optimized crystal structure of ScSeBr2, as listed in the Alexandria database.

Structure (CIF):
```
data_ScSeBr2
_chemical_formula_sum 'Sc1 Se1 Br2'
_cell_length_a 9.607
_cell_length_b 9.607
_cell_length_c 9.607
_cell_angle_alpha 20.72
_cell_angle_beta 20.72
_cell_angle_gamma 20.72
_symmetry_space_group_name_H-M 'P 1'
_symmetry_Int_Tables_number 1
loop_
_symmetry_equiv_pos_as_xyz
'x,y,z'
loop_
_atom_site_label
_atom_site_type_symbol
_atom_site_fract_x
_atom_site_fract_y
_atom_site_fract_z
_atom_site_occupancy
Sc1 Sc 0.000 0.000 0.000 1
Se1 Se 0.500 0.500 0.500 1
Br1 Br 0.272 0.272 0.272 1
Br2 Br 0.728 0.728 0.728 1
```

Calculated values
- energy relative to the elements, uncorrected (meV per atom) = -850
- total magnetization (μB/cell) = 0.00

First-principles (GGA-PBEsol) data for an optimized crystal structure of ScSe2Br, as listed in the Alexandria database.

Structure (CIF):
```
data_ScSe2Br
_chemical_formula_sum 'Sc1 Se2 Br1'
_cell_length_a 5.184
_cell_length_b 3.857
_cell_length_c 5.247
_cell_angle_alpha 90.00
_cell_angle_beta 107.13
_cell_angle_gamma 90.00
_symmetry_space_group_name_H-M 'P 1'
_symmetry_Int_Tables_number 1
loop_
_symmetry_equiv_pos_as_xyz
'x,y,z'
loop_
_atom_site_label
_atom_site_type_symbol
_atom_site_fract_x
_atom_site_fract_y
_atom_site_fract_z
_atom_site_occupancy
Sc1 Sc 0.000 0.000 0.000 1
Se1 Se 0.383 0.500 0.164 1
Se2 Se 0.617 0.500 0.836 1
Br1 Br 0.000 0.000 0.500 1
```

Calculated values
- energy relative to the elements, uncorrected (meV per atom) = -1133
- total magnetization (μB/cell) = 0.00

First-principles (GGA-PBEsol) data for an optimized crystal structure of ScSe2Br, as listed in the Alexandria database.

Structure (CIF):
```
data_ScSe2Br
_chemical_formula_sum 'Sc1 Se2 Br1'
_cell_length_a 3.191
_cell_length_b 3.191
_cell_length_c 9.625
_cell_angle_alpha 90.00
_cell_angle_beta 90.00
_cell_angle_gamma 91.07
_symmetry_space_group_name_H-M 'P 1'
_symmetry_Int_Tables_number 1
loop_
_symmetry_equiv_pos_as_xyz
'x,y,z'
loop_
_atom_site_label
_atom_site_type_symbol
_atom_site_fract_x
_atom_site_fract_y
_atom_site_fract_z
_atom_site_occupancy
Sc1 Sc 0.000 0.000 0.000 1
Se1 Se 0.000 0.000 0.475 1
Se2 Se 0.500 0.500 0.155 1
Br1 Br 0.500 0.500 0.813 1
```

Calculated values
- energy relative to the elements, uncorrected (meV per atom) = -665
- total magnetization (μB/cell) = 0.00